PBE-GGA SrLaCd2Ag, relaxed; magnetization = 0.00 μB/f.u.; calculated volume = 175.7 Å³ per cell; calculated formation energy = 0.477 eV per atom
1.0
-0.961 5.193 2.164
-0.021 -2.077 4.977
5.626 0.879 0.390
Ag Sr Cd La
1 1 2 1
Direct
0.000 0.500 0.000
0.000 0.000 0.000
0.000 0.000 0.500
0.500 0.000 0.000
0.500 0.500 0.500

=====

PBE-GGA YScCu2Ge2, relaxed; magnetization = 0.00 μB/f.u.; calculated volume = 107.8 Å³ per cell; calculated formation energy = -0.663 eV per atom
1.0
4.209 0.000 0.000
-2.105 3.645 0.000
0.000 0.000 7.023
Y Cu Ge Sc
1 2 2 1
Direct
0.000 0.000 0.000
0.333 0.667 0.709
0.667 0.333 0.291
0.333 0.667 0.265
0.667 0.333 0.735
0.000 0.000 0.500

=====

Copy entry 1 word for word.
PBE-GGA SrLaCd2Ag, relaxed; magnetization = 0.00 μB/f.u.; calculated volume = 175.7 Å³ per cell; calculated formation energy = 0.477 eV per atom
1.0
-0.961 5.193 2.164
-0.021 -2.077 4.977
5.626 0.879 0.390
Ag Sr Cd La
1 1 2 1
Direct
0.000 0.500 0.000
0.000 0.000 0.000
0.000 0.000 0.500
0.500 0.000 0.000
0.500 0.500 0.500

=====

> What is the calculated formation energy in the second record?

-0.663 eV per atom

=====

> Which formula does entry 1 have?

SrLaCd2Ag